# BaEu2Hg

A geometry-optimized BaEu2Hg structure (PBE-GGA, Alexandria via LeMat-Bulk).

Unit cell a=5.8363 b=5.8363 c=5.8363 alpha=60.00 beta=60.00 gamma=60.00
Site moments in Bohr magnetons follow the coordinates.
Atoms (fractional coordinates):
Eu: 0.2500 0.2500 0.2500  6.92
Eu: 0.7500 0.7500 0.7500  6.92
Hg: 0.0000 0.0000 0.0000  -0.02
Ba: 0.5000 0.5000 0.5000  0.09

Results
volume: 35.14 A^3/atom
formation enthalpy at 0 K: -82 meV per atom
excess energy over the best structure of this formula in the dataset: 172 meV per atom